# 1
Below is an optimized crystal structure of CsCdBO3, with properties calculated at the GGA-PBE level.

Values from the calculation:
Its symmetry is P2_13, No. 198. For the electronic total energy, the calculation gives -137.87 eV per cell. As for the calculated density: 4.80 g/cm3.

Cell lengths 7.493, 7.493, 7.493 Å; angles 90.00, 90.00, 90.00 degrees
Fractional coordinates of all 24 atoms:
B 0.099 0.099 0.099
B 0.599 0.401 0.901
B 0.901 0.599 0.401
B 0.401 0.901 0.599
Cd 0.645 0.645 0.645
Cd 0.145 0.855 0.355
Cd 0.355 0.145 0.855
Cd 0.855 0.355 0.145
O 0.237 0.975 0.089
O 0.975 0.089 0.237
O 0.911 0.737 0.525
O 0.763 0.475 0.411
O 0.025 0.589 0.263
O 0.589 0.263 0.025
O 0.525 0.911 0.737
O 0.475 0.411 0.763
O 0.263 0.025 0.589
O 0.089 0.237 0.975
O 0.411 0.763 0.475
O 0.737 0.525 0.911
Cs 0.861 0.139 0.639
Cs 0.361 0.361 0.361
Cs 0.139 0.639 0.861
Cs 0.639 0.861 0.139

=====

# 2
Below is an optimized crystal structure of Rb2NaH6Ir, with properties calculated at the GGA-PBE level.

Values from the calculation:
Its symmetry is Fm-3m, No. 225. For the electronic total energy, the calculation gives -35.56 eV per cell. As for the calculated density: 4.74 g/cm3.

Cell lengths 5.793, 5.793, 5.793 Å; angles 60.00, 60.00, 60.00 degrees
Fractional coordinates of all 10 atoms:
H 0.792 0.208 0.208
H 0.792 0.792 0.208
H 0.208 0.208 0.792
H 0.208 0.792 0.792
H 0.792 0.208 0.792
H 0.208 0.792 0.208
Ir 0.000 0.000 0.000
Na 0.500 0.500 0.500
Rb 0.250 0.250 0.250
Rb 0.750 0.750 0.750

=====

# 3
Below is an optimized crystal structure of Cu7As, with properties calculated at the GGA-PBE level.

Values from the calculation:
Its symmetry is P4/nmm, No. 129. For the electronic total energy, the calculation gives -60.40 eV per cell. As for the calculated density: 6.35 g/cm3. The value obtained for the energy above the most stable polymorph in this dataset is 0.022 eV per atom.

Cell lengths 2.570, 2.570, 41.141 Å; angles 90.00, 90.00, 90.00 degrees
Fractional coordinates of all 16 atoms:
Cu 0.500 0.000 0.217
Cu 0.500 0.000 0.563
Cu 0.000 0.500 0.694
Cu 0.500 0.000 0.479
Cu 0.500 0.000 0.649
Cu 0.000 0.500 0.606
Cu 0.000 0.500 0.262
Cu 0.000 0.500 0.437
Cu 0.500 0.000 0.738
Cu 0.000 0.500 0.351
Cu 0.500 0.000 0.394
Cu 0.500 0.000 0.306
Cu 0.000 0.500 0.783
Cu 0.000 0.500 0.521
As 0.500 0.000 0.833
As 0.000 0.500 0.167

=====

# 4
Below is an optimized crystal structure of TmTa3C, with properties calculated at the GGA-PBE level.

Values from the calculation:
Its symmetry is Pm-3m, No. 221. For the electronic total energy, the calculation gives -49.29 eV per cell. As for the calculated density: 13.80 g/cm3.

Cell lengths 4.433, 4.433, 4.433 Å; angles 90.00, 90.00, 90.00 degrees
Fractional coordinates of all 5 atoms:
Ta 0.500 0.000 0.000
Ta 0.000 0.500 0.000
Ta 0.000 0.000 0.500
C 0.000 0.000 0.000
Tm 0.500 0.500 0.500

=====

# 5
Below is an optimized crystal structure of NbNiGeIr, with properties calculated at the GGA-PBE level.

Values from the calculation:
Its symmetry is F-43m, No. 216. For the electronic total energy, the calculation gives -29.82 eV per cell. As for the calculated density: 11.69 g/cm3.

Cell lengths 4.374, 4.374, 4.374 Å; angles 60.00, 60.00, 60.00 degrees
Fractional coordinates of all 4 atoms:
Nb 0.250 0.250 0.250
Ni 0.750 0.750 0.750
Ge 0.000 0.000 0.000
Ir 0.500 0.500 0.500

=====

# 6
Below is an optimized crystal structure of PmNbSn, with properties calculated at the GGA-PBE level.

Values from the calculation:
Its symmetry is F-43m, No. 216. For the electronic total energy, the calculation gives -18.19 eV per cell. As for the calculated density: 7.01 g/cm3. The value obtained for the energy above the most stable polymorph in this dataset is 0.000 eV per atom.

Cell lengths 4.926, 4.926, 4.926 Å; angles 60.00, 60.00, 60.00 degrees
Fractional coordinates of all 3 atoms:
Pm 0.750 0.750 0.750
Sn 0.000 0.000 0.000
Nb 0.250 0.250 0.250

=====

# 7
Below is an optimized crystal structure of ZnFeNiAs, with properties calculated at the GGA-PBE level.

Values from the calculation:
Its symmetry is F-43m, No. 216. For the electronic total energy, the calculation gives -19.24 eV per cell. As for the calculated density: 8.07 g/cm3. The value obtained for the energy above the most stable polymorph in this dataset is 0.153 eV per atom.

Cell lengths 4.202, 4.202, 4.202 Å; angles 60.00, 60.00, 60.00 degrees
Fractional coordinates of all 4 atoms:
As 0.000 0.000 0.000
Fe 0.750 0.750 0.750
Zn 0.250 0.250 0.250
Ni 0.500 0.500 0.500

=====

# 8
Below is an optimized crystal structure of CdFeNiB, with properties calculated at the GGA-PBE level.

Values from the calculation:
Its symmetry is F-43m, No. 216. For the electronic total energy, the calculation gives -18.66 eV per cell. As for the calculated density: 8.13 g/cm3. The value obtained for the energy above the most stable polymorph in this dataset is 0.028 eV per atom.

Cell lengths 4.095, 4.095, 4.095 Å; angles 60.00, 60.00, 60.00 degrees
Fractional coordinates of all 4 atoms:
Fe 0.750 0.750 0.750
Cd 0.500 0.500 0.500
Ni 0.250 0.250 0.250
B 0.000 0.000 0.000

=====

# 9
Below is an optimized crystal structure of Hf2GaAg2, with properties calculated at the GGA-PBE level.

Values from the calculation:
Its symmetry is I4/mmm, No. 139. For the electronic total energy, the calculation gives -26.35 eV per cell. As for the calculated density: 9.50 g/cm3. The value obtained for the energy above the most stable polymorph in this dataset is 0.128 eV per atom.

Cell lengths 6.889, 6.889, 6.889 Å; angles 144.00, 144.00, 51.83 degrees
Fractional coordinates of all 5 atoms:
Ga 0.000 0.000 0.000
Ag 0.602 0.602 0.000
Ag 0.398 0.398 0.000
Hf 0.250 0.750 0.500
Hf 0.750 0.250 0.500

=====

# 10
Below is an optimized crystal structure of NbReAsAu, with properties calculated at the GGA-PBE level.

Values from the calculation:
Its symmetry is F-43m, No. 216. For the electronic total energy, the calculation gives -29.49 eV per cell. As for the calculated density: 14.02 g/cm3. The value obtained for the energy above the most stable polymorph in this dataset is 0.000 eV per atom.

Cell lengths 4.519, 4.519, 4.519 Å; angles 60.00, 60.00, 60.00 degrees
Fractional coordinates of all 4 atoms:
Nb 0.500 0.500 0.500
Re 0.000 0.000 0.000
Au 0.750 0.750 0.750
As 0.250 0.250 0.250

=====

# 11
Below is an optimized crystal structure of HoTm2Zn3NiIr2, with properties calculated at the GGA-PBE level.

Values from the calculation:
Its symmetry is Amm2, No. 38. For the electronic total energy, the calculation gives -46.50 eV per cell. As for the calculated density: 11.54 g/cm3.

Cell lengths 3.824, 7.051, 7.051 Å; angles 120.16, 90.00, 90.00 degrees
Fractional coordinates of all 9 atoms:
Ir 0.500 0.668 0.333
Ir 0.500 0.333 0.668
Ho 0.000 0.407 0.407
Zn 0.500 0.240 0.999
Zn 0.500 0.760 0.760
Zn 0.500 0.999 0.240
Ni 0.000 0.999 0.999
Tm 0.000 0.594 0.000
Tm 0.000 0.000 0.594

=====

# 12
Below is an optimized crystal structure of BaNi3, with properties calculated at the GGA-PBE level.

Values from the calculation:
Its symmetry is Fm-3m, No. 225. For the electronic total energy, the calculation gives -16.05 eV per cell. As for the calculated density: 7.51 g/cm3.

Cell lengths 4.611, 4.611, 4.611 Å; angles 60.00, 60.00, 60.00 degrees
Fractional coordinates of all 4 atoms:
Ba 0.750 0.750 0.750
Ni 0.000 0.000 0.000
Ni 0.500 0.500 0.500
Ni 0.250 0.250 0.250

=====

Which of these has the lowest electronic total energy?
CsCdBO3

=====

What is the calculated density in the seventh record?
8.07 g/cm3